The following is a DFT calculation (PBE-GGA) of an optimized crystal structure of BaTlGeAs.

Lattice parameters (Å, degrees): 4.821 4.121 6.298 90.00 101.21 90.00
Space group Pm (No. 6)
Asymmetric unit:
Ba 0.000 0.000 0.000 [1 per cell]
Tl 0.262 0.500 0.577 [1 per cell]
Ge 0.716 0.000 0.448 [1 per cell]
As 0.532 0.500 0.193 [1 per cell]

Properties
ΔE to the lowest computed polymorph: 0.000 eV/atom
N(E_F): 0.86 states/eV/cell
total DFT energy (no corrections): -3.817 eV/atom